# 1
VSi3Hg | PBE-GGA | relaxed

Symmetry: Pm-3m (221)
Energy above the lowest structure with this stoichiometry (eV per atom): 0.000
ΔE_f (raw) (meV/atom): 459

```
VSi3Hg
1.0
4.692 0.000 0.000
0.000 4.692 0.000
0.000 0.000 4.692
V Si Hg
1 3 1
Cartesian
0.000 0.000 0.000
0.000 0.000 2.346
0.000 2.346 0.000
2.346 0.000 0.000
2.346 2.346 2.346
```

# 2
Li2LaCl2 | PBE-GGA | relaxed

Symmetry: P4/mbm (127)
Energy above the lowest structure with this stoichiometry (eV per atom): 0.000
ΔE_f (raw) (meV/atom): -1082

```
Li2LaCl2
1.0
7.818 0.000 0.000
0.000 7.818 0.000
0.000 0.000 4.531
Li La Cl
4 2 4
Cartesian
1.685 2.224 0.000
2.224 6.133 0.000
5.594 1.685 0.000
6.133 5.594 0.000
0.000 0.000 2.266
3.909 3.909 2.266
1.310 2.599 2.266
2.599 6.507 2.266
5.219 1.310 2.266
6.507 5.219 2.266
```

# 3
Ge3PdS | PBE-GGA | relaxed

Symmetry: Pm-3m (221)
Energy above the lowest structure with this stoichiometry (eV per atom): 0.000
ΔE_f (raw) (meV/atom): 347

```
Ge3PdS
1.0
4.847 0.000 0.000
0.000 4.847 0.000
0.000 0.000 4.847
Ge Pd S
3 1 1
Cartesian
0.000 0.000 2.423
0.000 2.423 0.000
2.423 0.000 0.000
0.000 0.000 0.000
2.423 2.423 2.423
```

# 4
Pm2SCl3 | PBE-GGA | relaxed

Symmetry: C2/m (12)
ΔE_f (raw) (meV/atom): -2067

```
Pm2SCl3
1.0
7.998 -2.153 0.000
7.998 2.153 0.000
-6.292 0.000 10.304
Pm S Cl
4 2 6
Cartesian
-1.168 0.000 4.611
4.866 0.000 1.782
4.839 0.000 8.522
10.873 0.000 5.693
-2.567 0.000 7.025
12.272 0.000 3.279
2.524 0.000 0.159
1.755 0.000 4.168
2.295 0.000 7.598
7.410 0.000 2.706
7.950 0.000 6.136
7.181 0.000 10.145
```

# 5
Ca2MnP | PBE-GGA | relaxed

Symmetry: P4mm (99)
ΔH_f (0 K) (eV per atom): -0.135

```
Ca2MnP
1.0
3.185 0.000 0.000
0.000 3.185 0.000
0.000 0.000 8.323
Ca Mn P
2 1 1
Cartesian
0.000 0.000 0.000
1.592 1.592 3.380
0.000 0.000 5.502
1.592 1.592 6.345
```

# 6
In3Se4 | PBE-GGA | relaxed

Symmetry: I4/mmm (139)
ΔE_f (raw) (meV/atom): -328

```
In3Se4
1.0
-2.022 2.022 11.271
2.022 -2.022 11.271
2.022 2.022 -11.271
In Se
3 4
Cartesian
0.000 0.000 0.000
0.000 0.000 7.191
0.000 0.000 15.352
0.000 0.000 4.454
0.000 0.000 9.784
0.000 0.000 12.759
0.000 0.000 18.089
```

# 7
Re3As | PBE-GGA | relaxed

Symmetry: Cmmm (65)
ΔH_f (0 K) (eV per atom): 0.490
Energy above the lowest structure with this stoichiometry (eV per atom): 0.332

```
Re3As
1.0
2.550 -4.101 0.000
2.550 4.101 0.000
0.000 0.000 2.909
Re As
3 1
Cartesian
0.000 0.000 0.000
1.275 2.050 1.454
1.275 -2.050 1.454
2.550 0.000 0.000
```

# 8
CaFeMo2 | PBE-GGA | relaxed

Symmetry: Pmmm (47)
ΔH_f (0 K) (eV per atom): 0.746
Energy above the lowest structure with this stoichiometry (eV per atom): 0.227

```
CaFeMo2
1.0
3.088 0.000 0.000
0.000 4.475 0.000
0.000 0.000 4.932
Ca Fe Mo
1 1 2
Cartesian
0.000 0.000 0.000
1.544 2.237 0.000
0.000 2.237 2.466
1.544 0.000 2.466
```

# 9
LiAc4Mg | PBE-GGA | relaxed

Symmetry: P4/mmm (123)
ΔH_f (0 K) (eV per atom): 0.330

```
LiAc4Mg
1.0
5.633 0.000 0.000
0.000 5.633 0.000
0.000 0.000 8.019
Li Ac Mg
1 4 1
Cartesian
0.000 0.000 0.000
0.000 2.816 1.991
0.000 2.816 6.028
2.816 0.000 1.991
2.816 0.000 6.028
2.816 2.816 4.010
```

# 10
UTaN2 | PBE-GGA | relaxed

Symmetry: R3m (160)
ΔE_f (raw) (meV/atom): -1111

```
UTaN2
1.0
1.524 0.880 6.101
-1.524 0.880 6.101
0.000 -1.759 6.101
U Ta N
1 1 2
Cartesian
0.000 0.000 0.000
0.000 0.000 15.162
0.000 0.000 7.753
0.000 0.000 10.390
```

# 11
Pm2Si2Ag | PBE-GGA | relaxed

Symmetry: Immm (71)
Energy above the lowest structure with this stoichiometry (eV per atom): 0.054
ΔE_f (raw) (meV/atom): -563

```
Pm2Si2Ag
1.0
-2.100 2.908 4.558
2.100 -2.908 4.558
2.100 2.908 -4.558
Pm Si Ag
2 2 1
Cartesian
0.000 0.000 1.891
0.000 0.000 7.224
2.100 1.224 0.000
0.000 1.684 4.558
0.000 2.908 0.000
```

# 12
LiPmNi2 | PBE-GGA | relaxed

Symmetry: P4/mmm (123)
ΔH_f (0 K) (eV per atom): -0.045
Energy above the lowest structure with this stoichiometry (eV per atom): 0.093

```
LiPmNi2
1.0
4.150 0.000 0.000
0.000 4.150 0.000
0.000 0.000 3.808
Li Pm Ni
1 1 2
Cartesian
0.000 0.000 0.000
2.075 2.075 0.000
0.000 2.075 1.904
2.075 0.000 1.904
```